12
Lattice="2.4949 1.4404 10.0598 -2.4949 1.4404 10.0598 0.0000 -2.8809 10.0598" Properties=species:S:1:pos:R:3 comment="PBE-GGA TiHgS2O8, optimized geometry" mass_density_g_cm3=3.4 vol_a3_per_cell=216.9 e_tot_ev_per_cell=-74.84 raw_formation_energy_ev_per_fu=-18.72 pbc="T T T"
Ti 0.0000 0.0000 0.0000
Hg 0.0000 0.0000 15.0897
S 0.0000 0.0000 8.3582
S 0.0000 0.0000 21.8212
O -0.4324 -1.3278 8.9369
O -0.9337 1.0384 8.9369
O 0.0000 0.0000 6.9349
O -1.3661 -0.2894 21.2425
O 1.3661 0.2894 8.9369
O 0.0000 0.0000 23.2445
O 0.9337 -1.0384 21.2425
O 0.4324 1.3278 21.2425

***

9
Lattice="2.6618 -4.6138 0.0000 2.6618 4.6138 0.0000 -0.0081 0.0000 4.7263" Properties=species:S:1:pos:R:3 comment="PBE-GGA TmHgSO6, optimized geometry" mass_density_g_cm3=7.1 vol_a3_per_cell=116.1 e_tot_ev_per_cell=-49.48 raw_formation_energy_ev_per_fu=-10.83 pbc="T T T"
Tm 0.0000 0.0000 0.0000
Hg 2.6578 -1.5382 2.3631
S 2.6618 1.5381 0.0000
O 1.9929 2.7525 3.7644
O 1.2805 1.5059 0.9600
O 1.9350 0.3587 3.7654
O 3.3226 2.7525 0.9618
O 3.3805 0.3587 0.9609
O 4.0350 1.5059 3.7662